## w
The following is a DFT calculation (PBE) of AlPb3 after structural relaxation.

Calculated values
D(E_F): 0.588 states/eV/atom
spin magnetization: 0.00 μB/cell
symmetry: P6_3/mmc, No. 194

Cell and atoms, written as CIF:
```
data_AlPb3
_chemical_formula_sum 'Al4 Pb12'
_cell_length_a 6.881
_cell_length_b 6.881
_cell_length_c 11.210
_cell_angle_alpha 90.00
_cell_angle_beta 90.00
_cell_angle_gamma 120.00
_symmetry_space_group_name_H-M 'P 1'
_symmetry_Int_Tables_number 1
loop_
_symmetry_equiv_pos_as_xyz
'x,y,z'
loop_
_atom_site_label
_atom_site_type_symbol
_atom_site_fract_x
_atom_site_fract_y
_atom_site_fract_z
_atom_site_occupancy
Al1 Al 0.000 0.000 0.000 1
Al2 Al 0.000 0.000 0.500 1
Al3 Al 0.333 0.667 0.250 1
Al4 Al 0.667 0.333 0.750 1
Pb1 Pb 0.000 0.500 0.000 1
Pb2 Pb 0.000 0.500 0.500 1
Pb3 Pb 0.162 0.325 0.750 1
Pb4 Pb 0.162 0.838 0.750 1
Pb5 Pb 0.325 0.162 0.250 1
Pb6 Pb 0.500 0.000 0.000 1
Pb7 Pb 0.500 0.000 0.500 1
Pb8 Pb 0.500 0.500 0.000 1
Pb9 Pb 0.500 0.500 0.500 1
Pb10 Pb 0.675 0.838 0.750 1
Pb11 Pb 0.838 0.162 0.250 1
Pb12 Pb 0.838 0.675 0.250 1
```

=====

## x
The following is a DFT calculation (PBE) of AlPb3 after structural relaxation.

Calculated values
D(E_F): 0.536 states/eV/atom
spin magnetization: 0.00 μB/cell
symmetry: Pm-3m, No. 221

Cell and atoms, written as CIF:
```
data_AlPb3
_chemical_formula_sum 'Al1 Pb3'
_cell_length_a 5.542
_cell_length_b 5.542
_cell_length_c 5.542
_cell_angle_alpha 90.00
_cell_angle_beta 90.00
_cell_angle_gamma 90.00
_symmetry_space_group_name_H-M 'P 1'
_symmetry_Int_Tables_number 1
loop_
_symmetry_equiv_pos_as_xyz
'x,y,z'
loop_
_atom_site_label
_atom_site_type_symbol
_atom_site_fract_x
_atom_site_fract_y
_atom_site_fract_z
_atom_site_occupancy
Al1 Al 0.000 0.000 0.000 1
Pb1 Pb 0.000 0.000 0.500 1
Pb2 Pb 0.000 0.500 0.000 1
Pb3 Pb 0.500 0.000 0.000 1
```

=====

Winner for stability: w

=====

## w
The following is a DFT calculation (PBE) of AlPb3 after structural relaxation.

Calculated values
D(E_F): 0.365 states/eV/atom
spin magnetization: 0.00 μB/cell
symmetry: C2/m, No. 12

Cell and atoms, written as CIF:
```
data_AlPb3
_chemical_formula_sum 'Al2 Pb6'
_cell_length_a 10.909
_cell_length_b 3.467
_cell_length_c 6.229
_cell_angle_alpha 90.00
_cell_angle_beta 101.12
_cell_angle_gamma 90.00
_symmetry_space_group_name_H-M 'P 1'
_symmetry_Int_Tables_number 1
loop_
_symmetry_equiv_pos_as_xyz
'x,y,z'
loop_
_atom_site_label
_atom_site_type_symbol
_atom_site_fract_x
_atom_site_fract_y
_atom_site_fract_z
_atom_site_occupancy
Al1 Al 0.000 0.000 0.000 1
Al2 Al 0.500 0.500 0.000 1
Pb1 Pb 0.000 0.500 0.500 1
Pb2 Pb 0.241 0.500 0.229 1
Pb3 Pb 0.259 0.000 0.771 1
Pb4 Pb 0.500 0.000 0.500 1
Pb5 Pb 0.741 0.000 0.229 1
Pb6 Pb 0.759 0.500 0.771 1
```

=====

## x
The following is a DFT calculation (PBE) of AlPb3 after structural relaxation.

Calculated values
D(E_F): 0.638 states/eV/atom
spin magnetization: 0.00 μB/cell
symmetry: I4/mmm, No. 139

Cell and atoms, written as CIF:
```
data_AlPb3
_chemical_formula_sum 'Al4 Pb12'
_cell_length_a 4.799
_cell_length_b 4.799
_cell_length_c 19.979
_cell_angle_alpha 90.00
_cell_angle_beta 90.00
_cell_angle_gamma 90.00
_symmetry_space_group_name_H-M 'P 1'
_symmetry_Int_Tables_number 1
loop_
_symmetry_equiv_pos_as_xyz
'x,y,z'
loop_
_atom_site_label
_atom_site_type_symbol
_atom_site_fract_x
_atom_site_fract_y
_atom_site_fract_z
_atom_site_occupancy
Al1 Al 0.000 0.000 0.124 1
Al2 Al 0.000 0.000 0.876 1
Al3 Al 0.500 0.500 0.376 1
Al4 Al 0.500 0.500 0.624 1
Pb1 Pb 0.000 0.000 0.375 1
Pb2 Pb 0.000 0.000 0.625 1
Pb3 Pb 0.000 0.500 0.000 1
Pb4 Pb 0.000 0.500 0.250 1
Pb5 Pb 0.000 0.500 0.500 1
Pb6 Pb 0.000 0.500 0.750 1
Pb7 Pb 0.500 0.000 0.000 1
Pb8 Pb 0.500 0.000 0.250 1
Pb9 Pb 0.500 0.000 0.500 1
Pb10 Pb 0.500 0.000 0.750 1
Pb11 Pb 0.500 0.500 0.125 1
Pb12 Pb 0.500 0.500 0.875 1
```

=====

Winner for stability: w

=====

## w
The following is a DFT calculation (PBE) of Al3Pb2 after structural relaxation.

Calculated values
D(E_F): 0.494 states/eV/atom
spin magnetization: 0.00 μB/cell
symmetry: Fdd2, No. 43

Cell and atoms, written as CIF:
```
data_Al3Pb2
_chemical_formula_sum 'Al6 Pb4'
_cell_length_a 8.534
_cell_length_b 5.794
_cell_length_c 9.397
_cell_angle_alpha 63.23
_cell_angle_beta 37.31
_cell_angle_gamma 79.46
_symmetry_space_group_name_H-M 'P 1'
_symmetry_Int_Tables_number 1
loop_
_symmetry_equiv_pos_as_xyz
'x,y,z'
loop_
_atom_site_label
_atom_site_type_symbol
_atom_site_fract_x
_atom_site_fract_y
_atom_site_fract_z
_atom_site_occupancy
Al1 Al 0.000 0.000 0.000 1
Al2 Al 0.250 0.250 0.250 1
Al3 Al 0.500 0.889 0.256 1
Al4 Al 0.889 0.500 0.354 1
Al5 Al 0.896 0.994 0.361 1
Al6 Al 0.994 0.896 0.750 1
Pb1 Pb 0.315 0.568 0.772 1
Pb2 Pb 0.478 0.905 0.935 1
Pb3 Pb 0.568 0.315 0.345 1
Pb4 Pb 0.905 0.478 0.682 1
```

=====

## x
The following is a DFT calculation (PBE) of Al3Pb2 after structural relaxation.

Calculated values
D(E_F): 0.459 states/eV/atom
spin magnetization: 0.00 μB/cell
symmetry: P-3m1, No. 164

Cell and atoms, written as CIF:
```
data_Al3Pb2
_chemical_formula_sum 'Al3 Pb2'
_cell_length_a 4.340
_cell_length_b 4.340
_cell_length_c 7.929
_cell_angle_alpha 90.00
_cell_angle_beta 90.00
_cell_angle_gamma 120.00
_symmetry_space_group_name_H-M 'P 1'
_symmetry_Int_Tables_number 1
loop_
_symmetry_equiv_pos_as_xyz
'x,y,z'
loop_
_atom_site_label
_atom_site_type_symbol
_atom_site_fract_x
_atom_site_fract_y
_atom_site_fract_z
_atom_site_occupancy
Al1 Al 0.000 0.000 0.000 1
Al2 Al 0.333 0.667 0.425 1
Al3 Al 0.667 0.333 0.575 1
Pb1 Pb 0.333 0.667 0.797 1
Pb2 Pb 0.667 0.333 0.203 1
```

=====

Winner for stability: w

=====

## w
The following is a DFT calculation (PBE) of AlPd5Pb after structural relaxation.

Calculated values
D(E_F): 0.475 states/eV/atom
spin magnetization: 0.00 μB/cell
symmetry: C2/c, No. 15

Cell and atoms, written as CIF:
```
data_AlPd5Pb
_chemical_formula_sum 'Al2 Pd10 Pb2'
_cell_length_a 5.650
_cell_length_b 5.650
_cell_length_c 9.258
_cell_angle_alpha 102.88
_cell_angle_beta 102.88
_cell_angle_gamma 61.72
_symmetry_space_group_name_H-M 'P 1'
_symmetry_Int_Tables_number 1
loop_
_symmetry_equiv_pos_as_xyz
'x,y,z'
loop_
_atom_site_label
_atom_site_type_symbol
_atom_site_fract_x
_atom_site_fract_y
_atom_site_fract_z
_atom_site_occupancy
Al1 Al 0.000 0.500 0.000 1
Al2 Al 0.500 0.000 0.500 1
Pd1 Pd 0.003 0.244 0.503 1
Pd2 Pd 0.161 0.839 0.250 1
Pd3 Pd 0.162 0.344 0.266 1
Pd4 Pd 0.244 0.003 0.003 1
Pd5 Pd 0.344 0.162 0.766 1
Pd6 Pd 0.656 0.838 0.234 1
Pd7 Pd 0.756 0.997 0.997 1
Pd8 Pd 0.838 0.656 0.734 1
Pd9 Pd 0.839 0.161 0.750 1
Pd10 Pd 0.997 0.756 0.497 1
Pb1 Pb 0.364 0.636 0.750 1
Pb2 Pb 0.636 0.364 0.250 1
```

=====

## x
The following is a DFT calculation (PBE) of AlPd5Pb after structural relaxation.

Calculated values
D(E_F): 0.285 states/eV/atom
spin magnetization: 0.00 μB/cell
symmetry: P4/mmm, No. 123

Cell and atoms, written as CIF:
```
data_AlPd5Pb
_chemical_formula_sum 'Al1 Pd5 Pb1'
_cell_length_a 4.112
_cell_length_b 4.112
_cell_length_c 7.044
_cell_angle_alpha 90.00
_cell_angle_beta 90.00
_cell_angle_gamma 90.00
_symmetry_space_group_name_H-M 'P 1'
_symmetry_Int_Tables_number 1
loop_
_symmetry_equiv_pos_as_xyz
'x,y,z'
loop_
_atom_site_label
_atom_site_type_symbol
_atom_site_fract_x
_atom_site_fract_y
_atom_site_fract_z
_atom_site_occupancy
Al1 Al 0.000 0.000 0.000 1
Pd1 Pd 0.000 0.000 0.500 1
Pd2 Pd 0.000 0.500 0.208 1
Pd3 Pd 0.000 0.500 0.792 1
Pd4 Pd 0.500 0.000 0.208 1
Pd5 Pd 0.500 0.000 0.792 1
Pb1 Pb 0.500 0.500 0.500 1
```

=====

Winner for stability: x